(1)
# K2ScPb | Alexandria via LeMat-Bulk | PBE | optimized geometry
# calculated density: 3.95 g/cm³
# DOS at the Fermi energy: 0.785 states/eV/atom
# calculated volume: 139 Å³ per cell
# total moment: 0.248 μB/atom
# calculated total energy: -11.18 eV/cell
data_K2ScPb
_cell_length_a 3.8217
_cell_length_b 6.5745
_cell_length_c 5.5583
_cell_angle_alpha 90.00
_cell_angle_beta 95.52
_cell_angle_gamma 90.00
_symmetry_space_group_name_H-M 'P 1 2/m 1'
_symmetry_Int_Tables_number 10
loop_
_symmetry_equiv_pos_as_xyz
'x,y,z'
'-x,-y,-z'
'-x,y,-z'
'x,-y,z'
loop_
_atom_site_label
_atom_site_fract_x
_atom_site_fract_y
_atom_site_fract_z
_atom_site_occupancy
K1 0.2375 0.0000 0.2597 1
Sc1 0.5000 0.5000 0.0000 1
Pb1 0.0000 0.5000 0.5000 1

=====

(2)
# K2ScPb | Alexandria via LeMat-Bulk | PBE | optimized geometry
# calculated density: 3.78 g/cm³
# DOS at the Fermi energy: 1.179 states/eV/atom
# calculated volume: 290 Å³ per cell
# total moment: 0.266 μB/atom
# calculated total energy: -22.00 eV/cell
data_K2ScPb
_cell_length_a 6.3821
_cell_length_b 12.3093
_cell_length_c 3.6911
_cell_angle_alpha 90.00
_cell_angle_beta 90.00
_cell_angle_gamma 90.00
_symmetry_space_group_name_H-M 'C m m m'
_symmetry_Int_Tables_number 65
_symmetry_space_group_name_Hall '-C 2 2'
loop_
_atom_site_label
_atom_site_fract_x
_atom_site_fract_y
_atom_site_fract_z
_atom_site_occupancy
K1 0.2500 0.2500 0.0000 1
Sc1 0.0000 0.0000 0.5000 1
Pb1 0.0000 0.5000 0.5000 1

=====

(3)
# KScPb | Alexandria via LeMat-Bulk | PBE | optimized geometry
# energy above the most stable polymorph in this dataset: 168 meV per atom
# calculated density: 4.51 g/cm³
# DOS at the Fermi energy: 0.546 states/eV/atom
# calculated volume: 429 Å³ per cell
# total moment: 0.038 μB/atom
# calculated total energy: -45.55 eV/cell
data_KScPb
_cell_length_a 4.2139
_cell_length_b 13.9519
_cell_length_c 7.2889
_cell_angle_alpha 90.00
_cell_angle_beta 90.00
_cell_angle_gamma 90.00
_symmetry_space_group_name_H-M 'C m c m'
_symmetry_Int_Tables_number 63
_symmetry_space_group_name_Hall '-C 2c 2'
loop_
_atom_site_label
_atom_site_fract_x
_atom_site_fract_y
_atom_site_fract_z
_atom_site_occupancy
K1 0.0000 0.2080 0.2500 1
Sc1 0.0000 0.5000 0.0000 1
Pb1 0.0000 0.0776 0.7500 1

=====

(4)
# KScPb | Alexandria via LeMat-Bulk | PBE | optimized geometry
# energy above the most stable polymorph in this dataset: 198 meV per atom
# calculated density: 4.43 g/cm³
# DOS at the Fermi energy: 0.635 states/eV/atom
# calculated volume: 218 Å³ per cell
# total moment: 0.140 μB/atom
# calculated total energy: -22.59 eV/cell
data_KScPb
_cell_length_a 6.8624
_cell_length_b 4.7815
_cell_length_c 7.4799
_cell_angle_alpha 90.00
_cell_angle_beta 117.18
_cell_angle_gamma 90.00
_symmetry_space_group_name_H-M 'P 1 m 1'
_symmetry_Int_Tables_number 6
loop_
_symmetry_equiv_pos_as_xyz
'x,y,z'
'x,-y,z'
loop_
_atom_site_label
_atom_site_fract_x
_atom_site_fract_y
_atom_site_fract_z
_atom_site_occupancy
K1 0.0000 0.0000 0.0000 1
K2 0.4709 0.5000 0.0008 1
Sc1 0.0788 0.5000 0.4423 1
Sc2 0.6371 0.5000 0.5589 1
Pb1 0.3801 0.0000 0.5599 1
Pb2 0.8203 0.0000 0.4403 1

=====

(5)
# KScPb | Alexandria via LeMat-Bulk | PBE | optimized geometry
# energy above the most stable polymorph in this dataset: 989 meV per atom
# calculated density: 4.70 g/cm³
# DOS at the Fermi energy: 0.303 states/eV/atom
# calculated volume: 412 Å³ per cell
# total moment: 0.000 μB/atom
# calculated total energy: -35.71 eV/cell
data_KScPb
_cell_length_a 7.4399
_cell_length_b 7.4399
_cell_length_c 7.4399
_cell_angle_alpha 90.00
_cell_angle_beta 90.00
_cell_angle_gamma 90.00
_symmetry_space_group_name_H-M 'F -4 3 m'
_symmetry_Int_Tables_number 216
_symmetry_space_group_name_Hall 'F -4 2 3'
loop_
_atom_site_label
_atom_site_fract_x
_atom_site_fract_y
_atom_site_fract_z
_atom_site_occupancy
K1 0.0000 0.0000 0.0000 1
Sc1 0.2500 0.2500 0.7500 1
Pb1 0.2500 0.2500 0.2500 1

=====

(6)
# KScPb | Alexandria via LeMat-Bulk | PBE | optimized geometry
# energy above the most stable polymorph in this dataset: 1113 meV per atom
# calculated density: 2.42 g/cm³
# DOS at the Fermi energy: 1.538 states/eV/atom
# calculated volume: 400 Å³ per cell
# total moment: 0.067 μB/atom
# calculated total energy: -17.10 eV/cell
data_KScPb
_cell_length_a 6.4904
_cell_length_b 6.4904
_cell_length_c 10.9660
_cell_angle_alpha 90.00
_cell_angle_beta 90.00
_cell_angle_gamma 120.00
_symmetry_space_group_name_H-M 'P 63/m m c'
_symmetry_Int_Tables_number 194
_symmetry_space_group_name_Hall '-P 6c 2c'
loop_
_atom_site_label
_atom_site_fract_x
_atom_site_fract_y
_atom_site_fract_z
_atom_site_occupancy
K1 0.3333 0.6667 0.2500 1
Sc1 0.0000 0.0000 0.2500 1
Pb1 0.0000 0.0000 0.0000 1

=====

(7)
# KScPb | Alexandria via LeMat-Bulk | PBE | optimized geometry
# energy above the most stable polymorph in this dataset: 127 meV per atom
# calculated density: 4.34 g/cm³
# DOS at the Fermi energy: 0.000 states/eV/atom
# calculated volume: 223 Å³ per cell
# total moment: 0.000 μB/atom
# calculated total energy: -23.02 eV/cell
data_KScPb
_cell_length_a 5.0243
_cell_length_b 5.0243
_cell_length_c 10.2051
_cell_angle_alpha 90.00
_cell_angle_beta 90.00
_cell_angle_gamma 120.00
_symmetry_space_group_name_H-M 'P 3 m 1'
_symmetry_Int_Tables_number 156
loop_
_symmetry_equiv_pos_as_xyz
'x,y,z'
'-y,x-y,z'
'-x+y,-x,z'
'-y,-x,z'
'-x+y,y,z'
'x,x-y,z'
loop_
_atom_site_label
_atom_site_fract_x
_atom_site_fract_y
_atom_site_fract_z
_atom_site_occupancy
K1 0.0000 0.0000 0.0000 1
K2 0.3333 0.6667 0.2859 1
Sc1 0.0000 0.0000 0.5801 1
Sc2 0.6667 0.3333 0.7490 1
Pb1 0.3333 0.6667 0.7671 1
Pb2 0.6667 0.3333 0.4672 1

=====

(8)
# K2ScPb | Alexandria via LeMat-Bulk | PBE | optimized geometry
# calculated density: 4.09 g/cm³
# DOS at the Fermi energy: 0.347 states/eV/atom
# calculated volume: 134 Å³ per cell
# total moment: 0.274 μB/atom
# calculated total energy: -11.53 eV/cell
data_K2ScPb
_cell_length_a 4.6557
_cell_length_b 4.6557
_cell_length_c 6.1918
_cell_angle_alpha 90.00
_cell_angle_beta 90.00
_cell_angle_gamma 90.00
_symmetry_space_group_name_H-M 'P 4/m m m'
_symmetry_Int_Tables_number 123
_symmetry_space_group_name_Hall '-P 4 2'
loop_
_atom_site_label
_atom_site_fract_x
_atom_site_fract_y
_atom_site_fract_z
_atom_site_occupancy
K1 0.0000 0.5000 0.0000 1
Sc1 0.0000 0.0000 0.5000 1
Pb1 0.5000 0.5000 0.5000 1

=====

(9)
# KScPb | Alexandria via LeMat-Bulk | PBE | optimized geometry
# energy above the most stable polymorph in this dataset: 124 meV per atom
# calculated density: 4.35 g/cm³
# DOS at the Fermi energy: 0.000 states/eV/atom
# calculated volume: 667 Å³ per cell
# total moment: 0.000 μB/atom
# calculated total energy: -69.12 eV/cell
data_KScPb
_cell_length_a 5.0322
_cell_length_b 5.0322
_cell_length_c 30.4344
_cell_angle_alpha 90.00
_cell_angle_beta 90.00
_cell_angle_gamma 120.00
_symmetry_space_group_name_H-M 'R 3 m'
_symmetry_Int_Tables_number 160
_symmetry_space_group_name_Hall 'R 3 -2"'
loop_
_atom_site_label
_atom_site_fract_x
_atom_site_fract_y
_atom_site_fract_z
_atom_site_occupancy
K1 0.0000 0.0000 0.0000 1
K2 0.0000 0.0000 0.4276 1
Sc1 0.0000 0.0000 0.1788 1
Sc2 0.0000 0.0000 0.5686 1
Pb1 0.0000 0.0000 0.2731 1
Pb2 0.0000 0.0000 0.8398 1

=====

(10)
# K2ScPb | Alexandria via LeMat-Bulk | PBE | optimized geometry
# calculated density: 3.48 g/cm³
# DOS at the Fermi energy: 0.840 states/eV/atom
# calculated volume: 472 Å³ per cell
# total moment: 0.138 μB/atom
# calculated total energy: -34.65 eV/cell
data_K2ScPb
_cell_length_a 3.7933
_cell_length_b 3.7933
_cell_length_c 37.9100
_cell_angle_alpha 90.00
_cell_angle_beta 90.00
_cell_angle_gamma 120.00
_symmetry_space_group_name_H-M 'R 3 m'
_symmetry_Int_Tables_number 160
_symmetry_space_group_name_Hall 'R 3 -2"'
loop_
_atom_site_label
_atom_site_fract_x
_atom_site_fract_y
_atom_site_fract_z
_atom_site_occupancy
K1 0.0000 0.0000 0.0000 1
K2 0.0000 0.0000 0.2249 1
Sc1 0.0000 0.0000 0.7571 1
Pb1 0.0000 0.0000 0.4821 1

=====

(11)
# KScPb | Alexandria via LeMat-Bulk | PBE | optimized geometry
# energy above the most stable polymorph in this dataset: 95 meV per atom
# calculated density: 4.96 g/cm³
# DOS at the Fermi energy: 0.000 states/eV/atom
# calculated volume: 390 Å³ per cell
# total moment: 0.000 μB/atom
# calculated total energy: -46.43 eV/cell
data_KScPb
_cell_length_a 9.1239
_cell_length_b 5.1270
_cell_length_c 8.3333
_cell_angle_alpha 90.00
_cell_angle_beta 90.00
_cell_angle_gamma 90.00
_symmetry_space_group_name_H-M 'P n m a'
_symmetry_Int_Tables_number 62
loop_
_symmetry_equiv_pos_as_xyz
'x,y,z'
'-x,-y,-z'
'-x+1/2,-y,z+1/2'
'x+1/2,y,-z+1/2'
'x+1/2,-y+1/2,-z+1/2'
'-x+1/2,y+1/2,z+1/2'
'-x,y+1/2,-z'
'x,-y+1/2,z'
loop_
_atom_site_label
_atom_site_fract_x
_atom_site_fract_y
_atom_site_fract_z
_atom_site_occupancy
K1 0.0007 0.2500 0.1484 1
Sc1 0.1352 0.7500 0.4280 1
Pb1 0.1870 0.2500 0.6204 1

=====

(12)
# K2ScPb | Alexandria via LeMat-Bulk | PBE | optimized geometry
# calculated density: 4.07 g/cm³
# DOS at the Fermi energy: 0.351 states/eV/atom
# calculated volume: 270 Å³ per cell
# total moment: 0.249 μB/atom
# calculated total energy: -22.96 eV/cell
data_K2ScPb
_cell_length_a 4.6754
_cell_length_b 4.6754
_cell_length_c 12.3292
_cell_angle_alpha 90.00
_cell_angle_beta 90.00
_cell_angle_gamma 90.00
_symmetry_space_group_name_H-M 'I 4/m m m'
_symmetry_Int_Tables_number 139
_symmetry_space_group_name_Hall '-I 4 2'
loop_
_atom_site_label
_atom_site_fract_x
_atom_site_fract_y
_atom_site_fract_z
_atom_site_occupancy
K1 0.0000 0.5000 0.2500 1
Sc1 0.0000 0.0000 0.0000 1
Pb1 0.0000 0.0000 0.5000 1

=====

(13)
# K2ScPb | Alexandria via LeMat-Bulk | PBE | optimized geometry
# calculated density: 3.20 g/cm³
# DOS at the Fermi energy: 0.705 states/eV/atom
# calculated volume: 171 Å³ per cell
# total moment: 0.075 μB/atom
# calculated total energy: -12.19 eV/cell
data_K2ScPb
_cell_length_a 3.7260
_cell_length_b 4.4528
_cell_length_c 10.3361
_cell_angle_alpha 90.00
_cell_angle_beta 90.28
_cell_angle_gamma 90.00
_symmetry_space_group_name_H-M 'P 1 m 1'
_symmetry_Int_Tables_number 6
loop_
_symmetry_equiv_pos_as_xyz
'x,y,z'
'x,-y,z'
loop_
_atom_site_label
_atom_site_fract_x
_atom_site_fract_y
_atom_site_fract_z
_atom_site_occupancy
K1 0.0000 0.0000 0.0000 1
K2 0.4836 0.5000 0.3708 1
Sc1 0.9855 0.0000 0.6578 1
Pb1 0.4871 0.5000 0.7358 1

=====

(14)
# KScPb | Alexandria via LeMat-Bulk | PBE | optimized geometry
# energy above the most stable polymorph in this dataset: 210 meV per atom
# calculated density: 5.56 g/cm³
# DOS at the Fermi energy: 0.069 states/eV/atom
# calculated volume: 174 Å³ per cell
# total moment: 0.000 μB/atom
# calculated total energy: -22.52 eV/cell
data_KScPb
_cell_length_a 5.5503
_cell_length_b 5.5503
_cell_length_c 6.5239
_cell_angle_alpha 90.00
_cell_angle_beta 90.00
_cell_angle_gamma 120.00
_symmetry_space_group_name_H-M 'P 63/m m c'
_symmetry_Int_Tables_number 194
_symmetry_space_group_name_Hall '-P 6c 2c'
loop_
_atom_site_label
_atom_site_fract_x
_atom_site_fract_y
_atom_site_fract_z
_atom_site_occupancy
K1 0.0000 0.0000 0.0000 1
Sc1 0.3333 0.6667 0.2500 1
Pb1 0.3333 0.6667 0.7500 1

=====

(15)
# K2ScPb | Alexandria via LeMat-Bulk | PBE | optimized geometry
# calculated density: 3.83 g/cm³
# DOS at the Fermi energy: 0.938 states/eV/atom
# calculated volume: 143 Å³ per cell
# total moment: 0.254 μB/atom
# calculated total energy: -11.09 eV/cell
data_K2ScPb
_cell_length_a 3.6339
_cell_length_b 6.1411
_cell_length_c 6.4241
_cell_angle_alpha 90.00
_cell_angle_beta 90.00
_cell_angle_gamma 90.00
_symmetry_space_group_name_H-M 'P m m m'
_symmetry_Int_Tables_number 47
loop_
_symmetry_equiv_pos_as_xyz
'x,y,z'
'-x,-y,-z'
'-x,-y,z'
'x,y,-z'
'x,-y,-z'
'-x,y,z'
'-x,y,-z'
'x,-y,z'
loop_
_atom_site_label
_atom_site_fract_x
_atom_site_fract_y
_atom_site_fract_z
_atom_site_occupancy
K1 0.0000 0.0000 0.2393 1
Sc1 0.5000 0.5000 0.5000 1
Pb1 0.5000 0.5000 0.0000 1